1.
Below is a geometry-optimized PmDy2ErAs4 structure, with properties calculated at the PBE level.

Computed properties:
The symmetry is P2/m. The formation energy is -35.14 kcal/mol of atoms. Its total energy is -49.3 eV/cell. The value obtained for the theoretical density is 7.747 g cm⁻³.

```
PmDy2ErAs4
1.0
7.170 0.000 0.000
0.000 4.143 0.000
-2.390 0.000 6.761
Pm Dy Er As
1 2 1 4
direct
0.000 0.000 0.000
0.000 0.500 0.500
0.500 0.000 0.500
0.500 0.500 0.000
0.254 0.000 0.749
0.256 0.500 0.254
0.744 0.500 0.746
0.746 0.000 0.251
```

2.
Below is a geometry-optimized PmYErTm2 structure, with properties calculated at the PBE level.

Computed properties:
The symmetry is Cmcm. The formation energy is 8.42 kcal/mol of atoms. Its total energy is -45.8 eV/cell. The value obtained for the theoretical density is 7.345 g cm⁻³.

```
PmYErTm2
1.0
3.167 -8.336 0.000
3.167 8.336 0.000
0.000 0.000 6.329
Pm Y Er Tm
2 2 2 4
direct
0.157 0.843 0.750
0.843 0.157 0.250
0.344 0.656 0.750
0.656 0.344 0.250
0.247 0.753 0.250
0.753 0.247 0.750
0.250 0.250 0.000
0.250 0.250 0.500
0.750 0.750 0.000
0.750 0.750 0.500
```